Compound: NaTl14Sn
Source: Alexandria
Functional: PBE
Structure: optimized geometry

abc: 6.824 6.824 10.993
angles: 90.00 90.00 108.92
Atoms (fractional coordinates):
1 Tl 0.877 0.123 0.267
2 Tl 0.901 0.630 0.744
3 Na 0.618 0.382 0.500
4 Tl 0.394 0.606 0.240
5 Tl 0.877 0.123 0.733
6 Tl 0.642 0.893 0.000
7 Tl 0.133 0.423 0.500
8 Tl 0.370 0.099 0.744
9 Tl 0.370 0.099 0.256
10 Tl 0.394 0.606 0.760
11 Sn 0.090 0.910 0.500
12 Tl 0.107 0.358 0.000
13 Tl 0.901 0.630 0.256
14 Tl 0.132 0.868 0.000
15 Tl 0.617 0.383 0.000
16 Tl 0.577 0.867 0.500

Values from the calculation:
Formation energy, eV/atom: -0.013
Spin magnetization, Bohr magnetons per cell: 0.00